A) ReSb3H | GGA-PBE | relaxed

The structure in POSCAR format:
```
ReSb3H
1.0
5.170 0.000 0.000
0.000 5.170 0.000
0.000 0.000 5.170
Re Sb H
1 3 1
Cartesian
0.000 0.000 0.000 Re
0.000 0.000 2.585 Sb
0.000 2.585 0.000 Sb
2.585 0.000 0.000 Sb
2.585 2.585 2.585 H
```

Output
The size of the total moment comes out at 0.000 μB per atom.


B) ReSb3H | GGA-PBE | relaxed

The structure in POSCAR format:
```
ReSb3H
1.0
4.542 0.000 0.000
0.000 4.542 0.000
0.000 0.000 4.542
Re Sb H
1 3 1
Cartesian
0.000 0.000 0.000 Re
0.000 2.271 2.271 Sb
2.271 0.000 2.271 Sb
2.271 2.271 0.000 Sb
2.271 2.271 2.271 H
```

Output
The size of the total moment comes out at 0.202 μB per atom.


Tell me which of them is the least stable. Sure, it is B).


A) Re2SbH | GGA-PBE | relaxed

The structure in POSCAR format:
```
Re2SbH
1.0
-2.472 2.472 5.020
2.472 -2.472 5.020
2.472 2.472 -5.020
Re Sb H
4 2 2
Cartesian
0.404 1.236 1.255 Re
-1.236 2.068 3.765 Re
-0.404 3.707 1.255 Re
1.236 2.875 3.765 Re
2.472 0.000 2.510 Sb
0.000 0.000 5.020 Sb
0.000 0.000 0.000 H
0.000 2.472 2.510 H
```

Output
The size of the total moment comes out at 0.000 μB per atom.


B) Re2SbH | GGA-PBE | relaxed

The structure in POSCAR format:
```
Re2SbH
1.0
0.000 3.078 3.078
3.078 0.000 3.078
3.078 3.078 0.000
Re Sb H
2 1 1
Cartesian
1.539 1.539 1.539 Re
4.617 4.617 4.617 Re
0.000 0.000 0.000 Sb
3.078 3.078 3.078 H
```

Output
The size of the total moment comes out at 0.000 μB per atom.


Tell me which of them is the least stable. Sure, it is B).


A) ReSbTe2H | GGA-PBE | relaxed

The structure in POSCAR format:
```
ReSbTe2H
1.0
5.281 0.000 0.000
0.000 5.281 0.000
0.000 0.000 5.214
Re Sb Te H
1 1 2 1
Cartesian
0.000 0.000 0.000 Re
0.000 0.000 2.607 Sb
0.000 2.641 0.000 Te
2.641 0.000 0.000 Te
2.641 2.641 2.607 H
```

Output
The size of the total moment comes out at 0.058 μB per atom.


B) ReSbTe2H | GGA-PBE | relaxed

The structure in POSCAR format:
```
ReSbTe2H
1.0
5.063 0.000 0.000
0.000 5.063 0.000
0.000 0.000 3.728
Re Sb Te H
1 1 2 1
Cartesian
0.000 0.000 0.000 Re
2.531 2.531 0.000 Sb
0.000 2.531 1.864 Te
2.531 0.000 1.864 Te
2.531 2.531 1.864 H
```

Output
The size of the total moment comes out at 0.000 μB per atom.


Tell me which of them is the least stable. Sure, it is B).


A) ReSb2TeH | GGA-PBE | relaxed

The structure in POSCAR format:
```
ReSb2TeH
1.0
4.306 0.000 0.000
0.000 4.306 0.000
0.000 0.000 5.197
Re Sb Te H
1 2 1 1
Cartesian
0.000 0.000 0.000 Re
0.000 2.153 2.599 Sb
2.153 0.000 2.599 Sb
2.153 2.153 0.000 Te
2.153 2.153 2.599 H
```

Output
The size of the total moment comes out at 0.263 μB per atom.


B) ReSb2TeH | GGA-PBE | relaxed

The structure in POSCAR format:
```
ReSb2TeH
1.0
5.179 0.000 0.000
0.000 5.179 0.000
0.000 0.000 5.248
Re Sb Te H
1 2 1 1
Cartesian
0.000 0.000 0.000 Re
0.000 2.589 0.000 Sb
2.589 0.000 0.000 Sb
0.000 0.000 2.624 Te
2.589 2.589 2.624 H
```

Output
The size of the total moment comes out at 0.000 μB per atom.


Tell me which of them is the least stable. Sure, it is A).


A) Sc3ReH | GGA-PBE | relaxed

The structure in POSCAR format:
```
Sc3ReH
1.0
4.315 0.000 0.000
0.000 4.315 0.000
0.000 0.000 4.315
Sc Re H
3 1 1
Cartesian
0.000 0.000 2.158 Sc
0.000 2.158 0.000 Sc
2.158 0.000 0.000 Sc
2.158 2.158 2.158 Re
0.000 0.000 0.000 H
```

Output
The size of the total moment comes out at 0.276 μB per atom.


B) Sc3ReH | GGA-PBE | relaxed

The structure in POSCAR format:
```
Sc3ReH
1.0
5.064 0.000 0.000
0.000 5.064 0.000
0.000 0.000 5.064
Sc Re H
3 1 1
Cartesian
0.000 0.000 2.532 Sc
0.000 2.532 0.000 Sc
2.532 0.000 0.000 Sc
0.000 0.000 0.000 Re
2.532 2.532 2.532 H
```

Output
The size of the total moment comes out at 0.000 μB per atom.


Tell me which of them is the least stable. Sure, it is B).


A) ScRe2H | GGA-PBE | relaxed

The structure in POSCAR format:
```
ScRe2H
1.0
0.000 3.046 3.046
3.046 0.000 3.046
3.046 3.046 0.000
Sc Re H
1 2 1
Cartesian
0.000 0.000 0.000 Sc
1.523 1.523 1.523 Re
4.569 4.569 4.569 Re
3.046 3.046 3.046 H
```

Output
The size of the total moment comes out at 0.000 μB per atom.


B) ScRe2H | GGA-PBE | relaxed

The structure in POSCAR format:
```
ScRe2H
1.0
-2.743 2.743 3.887
2.743 -2.743 3.887
2.743 2.743 -3.887
Sc Re H
2 4 2
Cartesian
2.743 1.372 0.972 Sc
0.000 1.372 2.916 Sc
0.000 0.000 0.000 Re
1.372 1.372 -1.944 Re
1.372 -1.372 1.944 Re
0.000 2.743 0.000 Re
2.743 -1.372 2.916 H
0.000 4.115 0.972 H
```

Output
The size of the total moment comes out at 0.000 μB per atom.


Tell me which of them is the least stable. Sure, it is A).